Entry 1:
PBE TcHPtW2, relaxed; energy above the lowest structure with this stoichiometry = 0 meV per atom; Fermi-level density of states = 2.490 states/eV/f.u.
1.0
4.019 0.000 0.000
0.000 4.019 0.000
0.000 0.000 3.943
Tc H Pt W
1 1 1 2
Cartesian
0.000 0.000 0.000
0.000 0.000 1.971
2.010 2.010 0.000
0.000 2.010 1.971
2.010 0.000 1.971


Entry 2:
PBE KPr2BiO6, relaxed; raw formation energy = -2.20 eV per atom
1.0
3.064 1.769 5.413
-3.064 1.769 5.413
0.000 -3.538 5.413
K Pr Bi O
1 2 1 6
Cartesian
0.000 0.000 0.000
0.000 0.000 4.288
0.000 0.000 12.562
0.000 0.000 7.623
-1.596 -0.265 6.164
-0.998 -1.617 8.653
1.028 -1.250 6.164
-0.901 1.673 8.653
0.569 1.515 6.164
1.900 -0.056 8.653


| no. | total moment (Bohr magnetons per cell) |
| --- | --- |
| 1 | 0.00 |
| 2 | 0.00 |